(1)
# PBE Tm8GaP3S4, relaxed
# Formation energy without anion corrections (eV per atom): -1.67
# Total energy (Ry/atom): -0.4517
data_Tm8GaP3S4
_chemical_formula_sum 'Tm24 Ga3 P9 S12'
_cell_length_a 7.8501
_cell_length_b 7.8501
_cell_length_c 19.2232
_cell_angle_alpha 90.00
_cell_angle_beta 90.00
_cell_angle_gamma 120.00
_symmetry_space_group_name_H-M 'R -3 m'
_symmetry_Int_Tables_number 166
_symmetry_space_group_name_Hall '-R 3 2"'
loop_
_atom_site_label
_atom_site_fract_x
_atom_site_fract_y
_atom_site_fract_z
Tm1 0.0000 0.0000 0.2468
Tm2 0.0016 0.5008 0.7517
Ga1 0.0000 0.0000 0.5000
P1 0.0000 0.5000 0.5000
S1 0.0000 0.0000 0.0000
S2 0.0000 0.5000 0.0000


(2)
# PBE Tb3ThAu2, relaxed
# Formation energy from the elements (eV per atom): -0.559
# Total energy (Ry/atom): -0.3824
data_Tb3ThAu2
_chemical_formula_sum 'Tb3 Th1 Au2'
_cell_length_a 3.6189
_cell_length_b 3.6189
_cell_length_c 12.0449
_cell_angle_alpha 90.00
_cell_angle_beta 90.00
_cell_angle_gamma 90.00
_symmetry_space_group_name_H-M 'P 4/m m m'
_symmetry_Int_Tables_number 123
_symmetry_space_group_name_Hall '-P 4 2'
loop_
_atom_site_label
_atom_site_fract_x
_atom_site_fract_y
_atom_site_fract_z
Tb1 0.0000 0.0000 0.0000
Tb2 0.0000 0.0000 0.2981
Th1 0.5000 0.5000 0.5000
Au1 0.5000 0.5000 0.1490


(3)
# PBE CsLi3Br, relaxed
# Formation energy without anion corrections (eV per atom): 0.56
# Total energy (Ry/atom): -0.0806
data_CsLi3Br
_chemical_formula_sum 'Cs1 Li3 Br1'
_cell_length_a 6.7553
_cell_length_b 6.7553
_cell_length_c 6.7553
_cell_angle_alpha 90.00
_cell_angle_beta 90.00
_cell_angle_gamma 90.00
_symmetry_space_group_name_H-M 'P m -3 m'
_symmetry_Int_Tables_number 221
_symmetry_space_group_name_Hall '-P 4 2 3'
loop_
_atom_site_label
_atom_site_fract_x
_atom_site_fract_y
_atom_site_fract_z
Cs1 0.0000 0.0000 0.0000
Li1 0.0000 0.0000 0.5000
Br1 0.5000 0.5000 0.5000